This record from Alexandria describes a geometry-optimized Rb2PrMo3O12 structure. The functional is GGA+U.

Cell lengths 7.6691, 7.6691, 7.6691 Å; angles 58.99, 58.99, 58.99 degrees
Closest atoms and distances in Å follow each position.
Atoms (fractional coordinates):
O 0.2933 0.9310 0.2933  2 Mo 1.95
O 0.0875 0.6240 0.0875  1 Mo 1.89
O 0.6240 0.0875 0.0875  1 Mo 1.89
O 0.0875 0.0875 0.6240  1 Mo 1.89
O 0.2933 0.2933 0.9310  2 Mo 1.95
O 0.9310 0.2933 0.2933  2 Mo 1.95
O 0.3760 0.9125 0.9125  1 Mo 1.89
O 0.9125 0.9125 0.3760  1 Mo 1.89
O 0.9125 0.3760 0.9125  1 Mo 1.89
O 0.0690 0.7067 0.7067  2 Mo 1.95
O 0.7067 0.7067 0.0690  2 Mo 1.95
O 0.7067 0.0690 0.7067  2 Mo 1.95
Rb 0.3687 0.3687 0.3687  3 O 3.04
Rb 0.6313 0.6313 0.6313  3 O 3.04
Mo 0.0000 0.5000 0.0000  6 O 1.89-1.95
Mo 0.0000 0.0000 0.5000  6 O 1.89-1.95
Mo 0.5000 0.0000 0.0000  6 O 1.89-1.95
Pr 0.0000 0.0000 0.0000  6 O 2.39

## Properties
DOS(E_F) (states/eV/f.u.): 9.89
Total magnetic moment (μB/f.u.): 0.99
Symmetry: No. 166
E_tot (eV/atom): -6.665
V (Å³ per atom): 17.3